[1]
# PmPrCuPt

A relaxed structure of PmPrCuPt (GGA-PBE, Alexandria via LeMat-Bulk).

Results
SG: Amm2, No. 38
E_form: -0.682 eV/atom
ρ: 9.32 Mg/m³
energy above the lowest structure with this stoichiometry: 0.0 meV per atom
uncorrected energy: -5.60 eV per atom

Cell: 3.9360 4.5296 5.7893 Å, 90.00 109.87 90.00°
With the nearest neighbours (Å) after each atom.
Atoms (fractional coordinates):
Pt1 0.4228 0.0000 0.8457  2 Cu 2.81, 3 Pr 3.07-3.09, 4 Pm 3.07
Pm1 0.8632 0.5000 0.7264  3 Cu 3.03-3.14, 4 Pt 3.07
Pr1 0.1391 0.0000 0.2782  3 Pt 3.07-3.09, 4 Cu 3.08
Cu1 0.5749 0.5000 0.1498  2 Pt 2.81, 3 Pm 3.03-3.14, 4 Pr 3.08

[2]
# TiSN2O

A relaxed structure of TiSN2O (GGA-PBE, Alexandria via LeMat-Bulk).

Results
raw formation energy: 1005 meV per atom
SG: P4/mmm, No. 123
ρ: 2.83 Mg/m³
uncorrected energy: -5.72 eV per atom

Cell: 3.7556 3.7556 5.1610 Å, 90.00 90.00 90.00°
With the nearest neighbours (Å) after each atom.
Atoms (fractional coordinates):
N1 0.5000 0.0000 0.0000  2 Ti 1.88
N2 0.0000 0.5000 0.0000  2 Ti 1.88
O1 0.5000 0.5000 0.5000  4 S 2.66
S1 0.0000 0.0000 0.5000  2 Ti 2.58, 4 O 2.66
Ti1 0.0000 0.0000 0.0000  4 N 1.88

Question: Which formula does entry 2 have?
Answer: TiSN2O

Question: The lowest uncorrected energy belongs to which entry?
Answer: TiSN2O